Entry one
Density functional theory data (meta-GGA SCAN) for NbPF2 at its PBEsol-relaxed geometry.

Its magnetic moment is 0.00 Bohr magnetons per cell.

It has space group I-42d (No. 122), with a = 3.6134 Å, b = 3.6134 Å, c = 15.5592 Å, α = 90.00°, β = 90.00° and γ = 90.00°. Symmetry generates all atoms from Nb at (0.0000, 0.0000, 0.0000), P at (0.0000, 0.0000, 0.5000) and F at (0.1969, 0.2500, 0.1250).

Entry two
Density functional theory data (meta-GGA SCAN) for NbPF2 at its PBEsol-relaxed geometry.

Its magnetic moment is 0.00 Bohr magnetons per cell.

It has space group Fm-3m (No. 225), with a = 5.7452 Å, b = 5.7452 Å, c = 5.7452 Å, α = 90.00°, β = 90.00° and γ = 90.00°. Symmetry generates all atoms from Nb at (0.0000, 0.0000, 0.0000), P at (0.0000, 0.0000, 0.5000) and F at (0.2500, 0.2500, 0.2500).

Stability, highest: entry one

Entry one
Density functional theory data (meta-GGA SCAN) for NiSF2 at its PBEsol-relaxed geometry.

Its magnetic moment is 6.99 Bohr magnetons per cell.

It has space group R-3m (No. 166, hexagonal axes), with a = 2.8124 Å, b = 2.8124 Å, c = 26.3492 Å, α = 90.00°, β = 90.00° and γ = 120.00°. Symmetry generates all atoms from Ni at (0.0000, 0.0000, 0.0000), S at (0.0000, 0.0000, 0.5000) and F at (0.0000, 0.0000, 0.3758).

Entry two
Density functional theory data (meta-GGA SCAN) for NiSF2 at its PBEsol-relaxed geometry.

Its magnetic moment is 0.30 Bohr magnetons per cell.

It has space group Fm-3m (No. 225), with a = 5.5862 Å, b = 5.5862 Å, c = 5.5862 Å, α = 90.00°, β = 90.00° and γ = 90.00°. Symmetry generates all atoms from Ni at (0.0000, 0.0000, 0.0000), S at (0.0000, 0.0000, 0.5000) and F at (0.2500, 0.2500, 0.2500).

Entry three
Density functional theory data (meta-GGA SCAN) for NiSF2 at its PBEsol-relaxed geometry.

Its magnetic moment is 14.33 Bohr magnetons per cell.

It has space group I-42d (No. 122), with a = 6.9591 Å, b = 6.9591 Å, c = 4.3992 Å, α = 90.00°, β = 90.00° and γ = 90.00°. Symmetry generates all atoms from Ni at (0.0000, 0.0000, 0.0000), S at (0.0000, 0.0000, 0.5000) and F at (0.1142, 0.7500, 0.1250).

Stability, highest: entry one

Entry one
Density functional theory data (meta-GGA SCAN) for PbOF2 at its PBEsol-relaxed geometry.

Its magnetic moment is 8.64 Bohr magnetons per cell.

It has space group R-3m (No. 166, hexagonal axes), with a = 3.3359 Å, b = 3.3359 Å, c = 20.6865 Å, α = 90.00°, β = 90.00° and γ = 120.00°. Symmetry generates all atoms from Pb at (0.0000, 0.0000, 0.0000), O at (0.0000, 0.0000, 0.5000) and F at (0.0000, 0.0000, 0.1081).

Entry two
Density functional theory data (meta-GGA SCAN) for PbOF2 at its PBEsol-relaxed geometry.

Its magnetic moment is 5.15 Bohr magnetons per cell.

It has space group I-42d (No. 122), with a = 3.5906 Å, b = 3.5906 Å, c = 15.6718 Å, α = 90.00°, β = 90.00° and γ = 90.00°. Symmetry generates all atoms from Pb at (0.0000, 0.0000, 0.0000), O at (0.0000, 0.0000, 0.5000) and F at (0.2369, 0.2500, 0.1250).

Stability, highest: entry two